Entry from Alexandria: a geometry-optimized SmCr2HgO8 structure (GGA+U).

Calculated values
The calculation puts the raw total energy at -78.4 eV per cell.

```
data_SmCr2HgO8
_chemical_formula_sum 'Sm1 Cr2 Hg1 O8'
_cell_length_a 6.127
_cell_length_b 6.127
_cell_length_c 6.127
_cell_angle_alpha 105.64
_cell_angle_beta 105.64
_cell_angle_gamma 117.43
_symmetry_space_group_name_H-M 'P 1'
_symmetry_Int_Tables_number 1
loop_
_symmetry_equiv_pos_as_xyz
'x,y,z'
loop_
_atom_site_label
_atom_site_type_symbol
_atom_site_fract_x
_atom_site_fract_y
_atom_site_fract_z
_atom_site_occupancy
Sm1 Sm 0.000 0.000 0.000 1
Cr1 Cr 0.500 0.500 0.000 1
Cr2 Cr 0.750 0.250 0.500 1
Hg1 Hg 0.250 0.750 0.500 1
O1 O 0.335 0.160 0.825 1
O2 O 0.335 0.509 0.175 1
O3 O 0.401 0.088 0.314 1
O4 O 0.491 0.665 0.825 1
O5 O 0.774 0.088 0.686 1
O6 O 0.840 0.665 0.175 1
O7 O 0.912 0.226 0.314 1
O8 O 0.912 0.599 0.686 1
```

Entry from Alexandria: a geometry-optimized SrCr2HgO8 structure (GGA+U).

Calculated values
The calculation puts the raw total energy at -73.1 eV per cell. Its density of states at the Fermi level is 0.00 states/eV/f.u.

```
data_SrCr2HgO8
_chemical_formula_sum 'Sr1 Cr2 Hg1 O8'
_cell_length_a 7.869
_cell_length_b 7.869
_cell_length_c 7.869
_cell_angle_alpha 38.76
_cell_angle_beta 38.76
_cell_angle_gamma 38.76
_symmetry_space_group_name_H-M 'P 1'
_symmetry_Int_Tables_number 1
loop_
_symmetry_equiv_pos_as_xyz
'x,y,z'
loop_
_atom_site_label
_atom_site_type_symbol
_atom_site_fract_x
_atom_site_fract_y
_atom_site_fract_z
_atom_site_occupancy
Sr1 Sr 0.000 0.000 0.000 1
Cr1 Cr 0.254 0.254 0.254 1
Cr2 Cr 0.746 0.746 0.746 1
Hg1 Hg 0.500 0.500 0.500 1
O1 O 0.061 0.450 0.796 1
O2 O 0.204 0.939 0.550 1
O3 O 0.329 0.329 0.329 1
O4 O 0.450 0.796 0.061 1
O5 O 0.550 0.204 0.939 1
O6 O 0.671 0.671 0.671 1
O7 O 0.796 0.061 0.450 1
O8 O 0.939 0.550 0.204 1
```

Entry from Alexandria: a geometry-optimized TaCrHgO6 structure (GGA+U).

Calculated values
The calculation puts the raw total energy at -63.7 eV per cell.

```
data_TaCrHgO6
_chemical_formula_sum 'Ta1 Cr1 Hg1 O6'
_cell_length_a 5.183
_cell_length_b 5.244
_cell_length_c 5.342
_cell_angle_alpha 76.41
_cell_angle_beta 83.21
_cell_angle_gamma 61.40
_symmetry_space_group_name_H-M 'P 1'
_symmetry_Int_Tables_number 1
loop_
_symmetry_equiv_pos_as_xyz
'x,y,z'
loop_
_atom_site_label
_atom_site_type_symbol
_atom_site_fract_x
_atom_site_fract_y
_atom_site_fract_z
_atom_site_occupancy
Ta1 Ta 0.000 0.000 0.000 1
Cr1 Cr 0.290 0.359 0.054 1
Hg1 Hg 0.635 0.698 0.538 1
O1 O 0.043 0.699 0.823 1
O2 O 0.061 0.243 0.243 1
O3 O 0.277 0.115 0.821 1
O4 O 0.278 0.625 0.230 1
O5 O 0.642 0.352 0.831 1
O6 O 0.650 0.024 0.238 1
```

Entry from Alexandria: a geometry-optimized CrHgTeO2 structure (GGA+U).

Calculated values
The calculation puts the raw total energy at -23.3 eV per cell. Its density of states at the Fermi level is 3.78 states/eV/f.u.

```
data_CrHgTeO2
_chemical_formula_sum 'Cr1 Hg1 Te1 O2'
_cell_length_a 3.927
_cell_length_b 3.927
_cell_length_c 5.793
_cell_angle_alpha 90.00
_cell_angle_beta 90.00
_cell_angle_gamma 90.00
_symmetry_space_group_name_H-M 'P 1'
_symmetry_Int_Tables_number 1
loop_
_symmetry_equiv_pos_as_xyz
'x,y,z'
loop_
_atom_site_label
_atom_site_type_symbol
_atom_site_fract_x
_atom_site_fract_y
_atom_site_fract_z
_atom_site_occupancy
Cr1 Cr 0.000 0.000 0.000 1
Hg1 Hg 0.500 0.500 0.500 1
Te1 Te 0.000 0.000 0.500 1
O1 O 0.000 0.500 0.000 1
O2 O 0.500 0.000 0.000 1
```

Entry from Alexandria: a geometry-optimized CrHgTeO6 structure (GGA+U).

Calculated values
The calculation puts the raw total energy at -49.8 eV per cell.

```
data_CrHgTeO6
_chemical_formula_sum 'Cr1 Hg1 Te1 O6'
_cell_length_a 5.180
_cell_length_b 5.180
_cell_length_c 5.026
_cell_angle_alpha 91.22
_cell_angle_beta 91.22
_cell_angle_gamma 119.24
_symmetry_space_group_name_H-M 'P 1'
_symmetry_Int_Tables_number 1
loop_
_symmetry_equiv_pos_as_xyz
'x,y,z'
loop_
_atom_site_label
_atom_site_type_symbol
_atom_site_fract_x
_atom_site_fract_y
_atom_site_fract_z
_atom_site_occupancy
Cr1 Cr 0.000 0.000 0.000 1
Hg1 Hg 0.670 0.330 0.500 1
Te1 Te 0.342 0.658 0.000 1
O1 O 0.043 0.694 0.788 1
O2 O 0.058 0.325 0.215 1
O3 O 0.294 0.321 0.783 1
O4 O 0.306 0.957 0.212 1
O5 O 0.675 0.942 0.785 1
O6 O 0.679 0.706 0.217 1
```

Entry from Alexandria: a geometry-optimized TiCrHgO6 structure (GGA+U).

Calculated values
The calculation puts the raw total energy at -58.3 eV per cell.

```
data_TiCrHgO6
_chemical_formula_sum 'Ti1 Cr1 Hg1 O6'
_cell_length_a 4.925
_cell_length_b 5.097
_cell_length_c 5.100
_cell_angle_alpha 60.03
_cell_angle_beta 89.90
_cell_angle_gamma 89.79
_symmetry_space_group_name_H-M 'P 1'
_symmetry_Int_Tables_number 1
loop_
_symmetry_equiv_pos_as_xyz
'x,y,z'
loop_
_atom_site_label
_atom_site_type_symbol
_atom_site_fract_x
_atom_site_fract_y
_atom_site_fract_z
_atom_site_occupancy
Ti1 Ti 0.000 0.000 0.000 1
Cr1 Cr 0.107 0.666 0.667 1
Hg1 Hg 0.583 0.334 0.334 1
O1 O 0.266 0.694 0.352 1
O2 O 0.266 0.952 0.695 1
O3 O 0.267 0.351 0.953 1
O4 O 0.840 0.351 0.703 1
O5 O 0.840 0.703 0.946 1
O6 O 0.840 0.948 0.350 1
```

Entry from Alexandria: a geometry-optimized Tl3Cr2HgO8 structure (GGA+U).

Calculated values
The calculation puts the raw total energy at -75.9 eV per cell. Its density of states at the Fermi level is 5.43 states/eV/f.u.

```
data_Tl3Cr2HgO8
_chemical_formula_sum 'Tl3 Cr2 Hg1 O8'
_cell_length_a 6.051
_cell_length_b 6.051
_cell_length_c 8.024
_cell_angle_alpha 90.00
_cell_angle_beta 90.00
_cell_angle_gamma 120.00
_symmetry_space_group_name_H-M 'P 1'
_symmetry_Int_Tables_number 1
loop_
_symmetry_equiv_pos_as_xyz
'x,y,z'
loop_
_atom_site_label
_atom_site_type_symbol
_atom_site_fract_x
_atom_site_fract_y
_atom_site_fract_z
_atom_site_occupancy
Tl1 Tl 0.000 0.000 0.000 1
Tl2 Tl 0.333 0.667 0.677 1
Tl3 Tl 0.667 0.333 0.323 1
Cr1 Cr 0.333 0.667 0.201 1
Cr2 Cr 0.667 0.333 0.799 1
Hg1 Hg 0.000 0.000 0.500 1
O1 O 0.182 0.365 0.272 1
O2 O 0.182 0.818 0.272 1
O3 O 0.333 0.667 0.994 1
O4 O 0.365 0.182 0.728 1
O5 O 0.635 0.818 0.272 1
O6 O 0.667 0.333 0.006 1
O7 O 0.818 0.182 0.728 1
O8 O 0.818 0.635 0.728 1
```

Entry from Alexandria: a geometry-optimized TlCr2HgO8 structure (GGA+U).

Calculated values
The calculation puts the raw total energy at -67.5 eV per cell. Its density of states at the Fermi level is 6.69 states/eV/f.u.

```
data_TlCr2HgO8
_chemical_formula_sum 'Tl1 Cr2 Hg1 O8'
_cell_length_a 8.570
_cell_length_b 8.570
_cell_length_c 8.570
_cell_angle_alpha 36.23
_cell_angle_beta 36.23
_cell_angle_gamma 36.23
_symmetry_space_group_name_H-M 'P 1'
_symmetry_Int_Tables_number 1
loop_
_symmetry_equiv_pos_as_xyz
'x,y,z'
loop_
_atom_site_label
_atom_site_type_symbol
_atom_site_fract_x
_atom_site_fract_y
_atom_site_fract_z
_atom_site_occupancy
Tl1 Tl 0.000 0.000 0.000 1
Cr1 Cr 0.245 0.245 0.245 1
Cr2 Cr 0.755 0.755 0.755 1
Hg1 Hg 0.500 0.500 0.500 1
O1 O 0.078 0.479 0.773 1
O2 O 0.227 0.922 0.521 1
O3 O 0.313 0.313 0.313 1
O4 O 0.479 0.773 0.078 1
O5 O 0.521 0.227 0.922 1
O6 O 0.687 0.687 0.687 1
O7 O 0.773 0.078 0.479 1
O8 O 0.922 0.521 0.227 1
```

Entry from Alexandria: a geometry-optimized Tl2CrHgO4 structure (GGA+U).

Calculated values
The calculation puts the raw total energy at -80.2 eV per cell. Its density of states at the Fermi level is 0.00 states/eV/f.u.

```
data_Tl2CrHgO4
_chemical_formula_sum 'Tl4 Cr2 Hg2 O8'
_cell_length_a 9.241
_cell_length_b 6.946
_cell_length_c 5.740
_cell_angle_alpha 90.00
_cell_angle_beta 90.00
_cell_angle_gamma 90.00
_symmetry_space_group_name_H-M 'P 1'
_symmetry_Int_Tables_number 1
loop_
_symmetry_equiv_pos_as_xyz
'x,y,z'
loop_
_atom_site_label
_atom_site_type_symbol
_atom_site_fract_x
_atom_site_fract_y
_atom_site_fract_z
_atom_site_occupancy
Tl1 Tl 0.238 0.234 0.000 1
Tl2 Tl 0.262 0.766 0.500 1
Tl3 Tl 0.738 0.766 0.500 1
Tl4 Tl 0.762 0.234 0.000 1
Cr1 Cr 0.000 0.318 0.456 1
Cr2 Cr 0.500 0.682 0.956 1
Hg1 Hg 0.000 0.763 0.959 1
Hg2 Hg 0.500 0.237 0.459 1
O1 O 0.000 0.106 0.326 1
O2 O 0.000 0.294 0.748 1
O3 O 0.149 0.437 0.368 1
O4 O 0.351 0.563 0.868 1
O5 O 0.500 0.706 0.248 1
O6 O 0.500 0.894 0.826 1
O7 O 0.649 0.563 0.868 1
O8 O 0.851 0.437 0.368 1
```

Question: Which formula does entry 4 have?
Answer: CrHgTeO2

Question: Which value of raw total energy does entry 3 give?
Answer: -63.7 eV per cell

Question: Among the records above, which one has the highest raw total energy?
Answer: CrHgTeO2

What did the fifth record say?
Entry from Alexandria: a geometry-optimized CrHgTeO6 structure (GGA+U).

Calculated values
The calculation puts the raw total energy at -49.8 eV per cell.

```
data_CrHgTeO6
_chemical_formula_sum 'Cr1 Hg1 Te1 O6'
_cell_length_a 5.180
_cell_length_b 5.180
_cell_length_c 5.026
_cell_angle_alpha 91.22
_cell_angle_beta 91.22
_cell_angle_gamma 119.24
_symmetry_space_group_name_H-M 'P 1'
_symmetry_Int_Tables_number 1
loop_
_symmetry_equiv_pos_as_xyz
'x,y,z'
loop_
_atom_site_label
_atom_site_type_symbol
_atom_site_fract_x
_atom_site_fract_y
_atom_site_fract_z
_atom_site_occupancy
Cr1 Cr 0.000 0.000 0.000 1
Hg1 Hg 0.670 0.330 0.500 1
Te1 Te 0.342 0.658 0.000 1
O1 O 0.043 0.694 0.788 1
O2 O 0.058 0.325 0.215 1
O3 O 0.294 0.321 0.783 1
O4 O 0.306 0.957 0.212 1
O5 O 0.675 0.942 0.785 1
O6 O 0.679 0.706 0.217 1
```